The following is a PBE-GGA calculation of a relaxed BeH6Rh crystal, from Alexandria.

abc: 3.808 9.027 4.463
angles: 90.00 96.26 90.00
Space group C2/m (No. 12)
Asymmetric unit:
Be 0.000 0.000 0.000 x2
H 0.019 0.133 0.762 x8
H 0.034 0.500 0.405 x4
Rh 0.000 0.000 0.500 x2

Calculated values
**Energy**: -3.8373 eV per atom
**DOS(E_F)**: 0.09 states/eV/atom
**Total magnetic moment**: 0.0 μB/f.u.